DFT (PBE-GGA) results for a relaxed DyTmNi2Pb crystal.

Values from the calculation:
magnetization	0.000	μB per atom
E	-53.092	eV/cell

abc: 3.6662 3.9528 14.2325
angles: 90.00 90.00 90.00
Space group Amm2 (No. 38)
One atom of each set of equivalent atoms:
Dy 0.0000 0.0000 0.0000 [2 per cell]
Tm 0.0000 0.0000 0.2814 [2 per cell]
Ni 0.5000 0.0000 0.4382 [2 per cell]
Ni 0.5000 0.0000 0.8395 [2 per cell]
Pb 0.5000 0.0000 0.6411 [2 per cell]

DFT (PBE-GGA) results for a relaxed TaBeAgPd crystal.

Values from the calculation:
offset from the most stable computed form	10	kJ/mol of formula units
magnetization	0.000	μB per atom
E	-92.176	eV/cell

abc: 6.2400 6.2400 6.2400
angles: 90.00 90.00 90.00
Space group F-43m (No. 216)
One atom of each set of equivalent atoms:
Ta 0.0000 0.0000 0.0000 [4 per cell]
Be 0.0000 0.0000 0.5000 [4 per cell]
Ag 0.2500 0.2500 0.2500 [4 per cell]
Pd 0.2500 0.2500 0.7500 [4 per cell]

DFT (PBE-GGA) results for a relaxed Hf2Nb4Tl3C3 crystal.

Values from the calculation:
magnetization	0.000	μB per atom
E	-399.602	eV/cell

abc: 9.7418 5.6318 15.0846
angles: 90.00 102.44 90.00
Space group C2/c (No. 15)
One atom of each set of equivalent atoms:
Hf 0.0533 0.0822 0.4138 [8 per cell]
Nb 0.1095 0.4136 0.5794 [8 per cell]
Nb 0.2252 0.4180 0.9206 [8 per cell]
Tl 0.0000 0.4268 0.2500 [4 per cell]
Tl 0.1720 0.0878 0.7509 [8 per cell]
C 0.0835 0.2501 0.0000 [8 per cell]
C 0.2500 0.2500 0.5000 [4 per cell]

DFT (PBE-GGA) results for a relaxed NaErAgSe3 crystal.

Values from the calculation:
magnetization	0.007	μB per atom
E	-101.355	eV/cell

abc: 3.9761 14.1065 10.5833
angles: 90.00 90.00 90.00
Space group Cmcm (No. 63)
One atom of each set of equivalent atoms:
Na 0.0000 0.2408 0.2500 [4 per cell]
Er 0.0000 0.0000 0.0000 [4 per cell]
Ag 0.0000 0.4672 0.7500 [4 per cell]
Se 0.0000 0.0897 0.7500 [4 per cell]
Se 0.0000 0.3606 0.5517 [8 per cell]

DFT (PBE-GGA) results for a relaxed LiCuOsPb crystal.

Values from the calculation:
offset from the most stable computed form	0	kJ/mol of formula units
magnetization	0.000	μB per atom
E	-74.062	eV/cell

abc: 6.3569 6.3569 6.3569
angles: 90.00 90.00 90.00
Space group F-43m (No. 216)
One atom of each set of equivalent atoms:
Li 0.0000 0.0000 0.0000 [4 per cell]
Cu 0.2500 0.2500 0.7500 [4 per cell]
Os 0.2500 0.2500 0.2500 [4 per cell]
Pb 0.0000 0.0000 0.5000 [4 per cell]

DFT (PBE-GGA) results for a relaxed LaAgO3 crystal.

Values from the calculation:
magnetization	0.000	μB per atom
E	-30.198	eV/cell

abc: 4.0675 4.0675 4.2121
angles: 90.00 90.00 90.00
Space group P4mm (No. 99)
One atom of each set of equivalent atoms:
La 0.0000 0.0000 0.0000 [1 per cell]
Ag 0.5000 0.5000 0.5929 [1 per cell]
O 0.0000 0.5000 0.6489 [2 per cell]
O 0.5000 0.5000 0.0968 [1 per cell]

DFT (PBE-GGA) results for a relaxed PmZnPO crystal.

Values from the calculation:
offset from the most stable computed form	513	kJ/mol of formula units
magnetization	0.003	μB per atom
E	-36.630	eV/cell

abc: 4.4537 4.4537 8.7885
angles: 90.00 90.00 90.00
Space group P4/nmm (No. 129, origin choice 2)
One atom of each set of equivalent atoms:
Pm 0.2500 0.7500 0.0000 [2 per cell]
Zn 0.2500 0.2500 0.4722 [2 per cell]
P 0.2500 0.2500 0.1837 [2 per cell]
O 0.2500 0.7500 0.5000 [2 per cell]

DFT (PBE-GGA) results for a relaxed ZrAlSi crystal.

Values from the calculation:
magnetization	0.168	μB per atom
E	-71.566	eV/cell

abc: 6.1313 6.1313 6.1313
angles: 90.00 90.00 90.00
Space group F-43m (No. 216)
One atom of each set of equivalent atoms:
Zr 0.0000 0.0000 0.0000 [4 per cell]
Al 0.0000 0.0000 0.5000 [4 per cell]
Si 0.2500 0.2500 0.7500 [4 per cell]

DFT (PBE-GGA) results for a relaxed Pm5Ga2Bi crystal.

Values from the calculation:
magnetization	0.002	μB per atom
E	-153.798	eV/cell

abc: 8.4230 8.4230 13.1626
angles: 90.00 90.00 90.00
Space group I4/mcm (No. 140)
One atom of each set of equivalent atoms:
Pm 0.0000 0.0000 0.0000 [4 per cell]
Pm 0.1545 0.3455 0.1417 [16 per cell]
Ga 0.1466 0.3534 0.5000 [8 per cell]
Bi 0.0000 0.0000 0.2500 [4 per cell]

DFT (PBE-GGA) results for a relaxed Al3Zn4 crystal.

Values from the calculation:
offset from the most stable computed form	7	kJ/mol of formula units
E	-31.660	eV/cell

abc: 7.3509 7.3509 4.7200
angles: 90.00 90.00 120.00
Space group P6_3/m (No. 176)
One atom of each set of equivalent atoms:
Al 0.0947 0.4713 0.2500 [6 per cell]
Zn 0.0469 0.2377 0.7500 [6 per cell]
Zn 0.3333 0.6667 0.7500 [2 per cell]

DFT (PBE-GGA) results for a relaxed Lu4ZnAsN2 crystal.

Values from the calculation:
magnetization	0.000	μB per atom
E	-50.001	eV/cell

abc: 3.4629 3.4629 13.7209
angles: 90.00 90.00 120.00
Space group P-6m2 (No. 187)
One atom of each set of equivalent atoms:
Lu 0.0000 0.0000 0.1473 [2 per cell]
Lu 0.6667 0.3333 0.3387 [2 per cell]
Zn 0.0000 0.0000 0.5000 [1 per cell]
As 0.6667 0.3333 0.0000 [1 per cell]
N 0.3333 0.6667 0.2380 [2 per cell]

DFT (PBE-GGA) results for a relaxed MgScZnAs crystal.

Values from the calculation:
offset from the most stable computed form	124	kJ/mol of formula units
magnetization	0.000	μB per atom
E	-55.327	eV/cell

abc: 6.8115 6.8115 6.8115
angles: 90.00 90.00 90.00
Space group F-43m (No. 216)
One atom of each set of equivalent atoms:
Mg 0.0000 0.0000 0.0000 [4 per cell]
Sc 0.2500 0.2500 0.2500 [4 per cell]
Zn 0.0000 0.0000 0.5000 [4 per cell]
As 0.2500 0.2500 0.7500 [4 per cell]